# PBE-GGA BaLiSi2, relaxed
data_BaLiSi2
_chemical_formula_sum 'Ba4 Li4 Si8'
_space_group_name_H-M_alt 'F m -3 m'
_space_group_IT_number 225
_space_group_name_Hall '-F 4 2 3'
_cell_length_a 7.3426
_cell_length_b 7.3426
_cell_length_c 7.3426
_cell_angle_alpha 90.00
_cell_angle_beta 90.00
_cell_angle_gamma 90.00
loop_
_atom_site_label
_atom_site_type_symbol
_atom_site_fract_x
_atom_site_fract_y
_atom_site_fract_z
Ba1 Ba 0.0000 0.0000 0.0000
Li1 Li 0.0000 0.0000 0.5000
Si1 Si 0.2500 0.2500 0.2500
# Density: 3.36 g cm⁻³
# E_form (uncorrected): 0.2005 eV per atom

---

# PBE-GGA BaLi2Si, relaxed
data_BaLi2Si
_chemical_formula_sum 'Ba2 Li4 Si2'
_space_group_name_H-M_alt 'I -4 m 2'
_space_group_IT_number 119
_space_group_name_Hall 'I -4 -2'
_cell_length_a 5.2455
_cell_length_b 5.2455
_cell_length_c 7.4501
_cell_angle_alpha 90.00
_cell_angle_beta 90.00
_cell_angle_gamma 90.00
loop_
_atom_site_label
_atom_site_type_symbol
_atom_site_fract_x
_atom_site_fract_y
_atom_site_fract_z
Ba1 Ba 0.0000 0.0000 0.0000
Li1 Li 0.0000 0.0000 0.5000
Li2 Li 0.0000 0.5000 0.7500
Si1 Si 0.0000 0.5000 0.2500
# Density: 2.90 g cm⁻³
# E_form (uncorrected): -0.0664 eV per atom

---

# PBE-GGA Ba2Li2Si, relaxed
data_Ba2Li2Si
_chemical_formula_sum 'Ba4 Li4 Si2'
_space_group_name_H-M_alt 'P 4/m b m'
_space_group_IT_number 127
_space_group_name_Hall '-P 4 2ab'
_cell_length_a 7.3777
_cell_length_b 7.3777
_cell_length_c 5.3631
_cell_angle_alpha 90.00
_cell_angle_beta 90.00
_cell_angle_gamma 90.00
loop_
_atom_site_label
_atom_site_type_symbol
_atom_site_fract_x
_atom_site_fract_y
_atom_site_fract_z
Ba1 Ba 0.1975 0.3025 0.0000
Li1 Li 0.1430 0.6430 0.5000
Si1 Si 0.0000 0.0000 0.5000
# Energy above the lowest structure with this stoichiometry: 0.1250 eV/atom
# Density: 3.60 g cm⁻³
# E_form (uncorrected): -0.0309 eV per atom

---

# PBE-GGA Ba2Li2Si, relaxed
data_Ba2Li2Si
_chemical_formula_sum 'Ba4 Li4 Si2'
_space_group_name_H-M_alt 'P 4/m b m'
_space_group_IT_number 127
_space_group_name_Hall '-P 4 2ab'
_cell_length_a 8.9899
_cell_length_b 8.9899
_cell_length_c 5.1844
_cell_angle_alpha 90.00
_cell_angle_beta 90.00
_cell_angle_gamma 90.00
loop_
_atom_site_label
_atom_site_type_symbol
_atom_site_fract_x
_atom_site_fract_y
_atom_site_fract_z
Ba1 Ba 0.1743 0.3257 0.0000
Li1 Li 0.1228 0.6228 0.5000
Si1 Si 0.0000 0.0000 0.0000
# Energy above the lowest structure with this stoichiometry: 0.4827 eV/atom
# Density: 2.51 g cm⁻³
# E_form (uncorrected): 0.3268 eV per atom

---

# PBE-GGA BaLiSi2, relaxed
data_BaLiSi2
_chemical_formula_sum 'Ba1 Li1 Si2'
_space_group_name_H-M_alt 'P 1 2/m 1'
_space_group_IT_number 10
_cell_length_a 5.7403
_cell_length_b 3.1961
_cell_length_c 5.7544
_cell_angle_alpha 90.00
_cell_angle_beta 114.07
_cell_angle_gamma 90.00
loop_
_space_group_symop_operation_xyz
'x,y,z'
'-x,-y,-z'
'-x,y,-z'
'x,-y,z'
loop_
_atom_site_label
_atom_site_type_symbol
_atom_site_fract_x
_atom_site_fract_y
_atom_site_fract_z
Ba1 Ba 0.0000 0.0000 0.0000
Li1 Li 0.5000 0.0000 0.5000
Si1 Si 0.0000 0.5000 0.5000
Si2 Si 0.5000 0.5000 0.0000
# Density: 3.45 g cm⁻³
# E_form (uncorrected): 0.2466 eV per atom

---

# PBE-GGA BaLiSi3, relaxed
data_BaLiSi3
_chemical_formula_sum 'Ba1 Li1 Si3'
_space_group_name_H-M_alt 'P m -3 m'
_space_group_IT_number 221
_space_group_name_Hall '-P 4 2 3'
_cell_length_a 5.7260
_cell_length_b 5.7260
_cell_length_c 5.7260
_cell_angle_alpha 90.00
_cell_angle_beta 90.00
_cell_angle_gamma 90.00
loop_
_atom_site_label
_atom_site_type_symbol
_atom_site_fract_x
_atom_site_fract_y
_atom_site_fract_z
Ba1 Ba 0.0000 0.0000 0.0000
Li1 Li 0.5000 0.5000 0.5000
Si1 Si 0.0000 0.0000 0.5000
# Energy above the lowest structure with this stoichiometry: 1.2090 eV/atom
# Density: 2.02 g cm⁻³
# E_form (uncorrected): 1.5149 eV per atom

---

# PBE-GGA BaLiSi, relaxed
data_BaLiSi
_chemical_formula_sum 'Ba4 Li4 Si4'
_space_group_name_H-M_alt 'C m c m'
_space_group_IT_number 63
_space_group_name_Hall '-C 2c 2'
_cell_length_a 5.0665
_cell_length_b 12.6675
_cell_length_c 4.9794
_cell_angle_alpha 90.00
_cell_angle_beta 90.00
_cell_angle_gamma 90.00
loop_
_atom_site_label
_atom_site_type_symbol
_atom_site_fract_x
_atom_site_fract_y
_atom_site_fract_z
Ba1 Ba 0.0000 0.2165 0.2500
Li1 Li 0.0000 0.4818 0.7500
Si1 Si 0.0000 0.0471 0.7500
# Density: 3.58 g cm⁻³
# E_form (uncorrected): -0.0257 eV per atom

---

# PBE-GGA BaLiSi2, relaxed
data_BaLiSi2
_chemical_formula_sum 'Ba2 Li2 Si4'
_space_group_name_H-M_alt 'I -4 m 2'
_space_group_IT_number 119
_space_group_name_Hall 'I -4 -2'
_cell_length_a 5.0589
_cell_length_b 5.0589
_cell_length_c 7.2029
_cell_angle_alpha 90.00
_cell_angle_beta 90.00
_cell_angle_gamma 90.00
loop_
_atom_site_label
_atom_site_type_symbol
_atom_site_fract_x
_atom_site_fract_y
_atom_site_fract_z
Ba1 Ba 0.0000 0.0000 0.0000
Li1 Li 0.0000 0.5000 0.7500
Si1 Si 0.0000 0.0000 0.5000
Si2 Si 0.0000 0.5000 0.2500
# Density: 3.61 g cm⁻³
# E_form (uncorrected): 0.1915 eV per atom

---

# PBE-GGA Ba3Li2Si2, relaxed
data_Ba3Li2Si2
_chemical_formula_sum 'Ba12 Li8 Si8'
_space_group_name_H-M_alt 'P b c m'
_space_group_IT_number 57
_cell_length_a 6.3434
_cell_length_b 8.9690
_cell_length_c 15.0416
_cell_angle_alpha 90.00
_cell_angle_beta 90.00
_cell_angle_gamma 90.00
loop_
_space_group_symop_operation_xyz
'x,y,z'
'-x,-y,-z'
'-x,-y,z+1/2'
'x,y,-z+1/2'
'x,-y+1/2,-z'
'-x,y+1/2,z'
'-x,y+1/2,-z+1/2'
'x,-y+1/2,z+1/2'
loop_
_atom_site_label
_atom_site_type_symbol
_atom_site_fract_x
_atom_site_fract_y
_atom_site_fract_z
Ba1 Ba 0.1044 0.1255 0.1058
Ba2 Ba 0.3454 0.7383 0.7500
Li1 Li 0.4008 0.0303 0.5830
Si1 Si 0.1747 0.0910 0.7500
Si2 Si 0.3608 0.7500 0.0000
# Density: 3.74 g cm⁻³
# E_form (uncorrected): -0.2672 eV per atom

---

# PBE-GGA BaLiSi2, relaxed
data_BaLiSi2
_chemical_formula_sum 'Ba2 Li2 Si4'
_space_group_name_H-M_alt 'P 1'
_space_group_IT_number 1
_cell_length_a 4.6410
_cell_length_b 6.6114
_cell_length_c 7.0427
_cell_angle_alpha 77.90
_cell_angle_beta 89.26
_cell_angle_gamma 73.70
loop_
_space_group_symop_operation_xyz
'x,y,z'
loop_
_atom_site_label
_atom_site_type_symbol
_atom_site_fract_x
_atom_site_fract_y
_atom_site_fract_z
Ba1 Ba 0.0000 0.0000 0.0000
Ba2 Ba 0.3801 0.2957 0.4556
Li1 Li 0.7332 0.5537 0.0734
Li2 Li 0.9217 0.5854 0.7088
Si1 Si 0.0336 0.9104 0.4695
Si2 Si 0.3303 0.3994 0.9507
Si3 Si 0.3922 0.7017 0.7188
Si4 Si 0.6116 0.7464 0.3875
# Density: 3.29 g cm⁻³
# E_form (uncorrected): -0.2548 eV per atom

---

# PBE-GGA BaLiSi2Tc, relaxed
data_BaLiSi2Tc
_chemical_formula_sum 'Ba1 Li1 Si2 Tc1'
_space_group_name_H-M_alt 'P 4/m m m'
_space_group_IT_number 123
_space_group_name_Hall '-P 4 2'
_cell_length_a 4.6856
_cell_length_b 4.6856
_cell_length_c 5.0910
_cell_angle_alpha 90.00
_cell_angle_beta 90.00
_cell_angle_gamma 90.00
loop_
_atom_site_label
_atom_site_type_symbol
_atom_site_fract_x
_atom_site_fract_y
_atom_site_fract_z
Ba1 Ba 0.0000 0.0000 0.0000
Li1 Li 0.5000 0.5000 0.0000
Si1 Si 0.0000 0.5000 0.5000
Tc1 Tc 0.5000 0.5000 0.5000
# Density: 4.43 g cm⁻³
# E_form (uncorrected): -0.2159 eV per atom

---

# PBE-GGA Ba2LiZn3Si4, relaxed
data_Ba2LiZn3Si4
_chemical_formula_sum 'Ba2 Li1 Zn3 Si4'
_space_group_name_H-M_alt 'P -4 m 2'
_space_group_IT_number 115
_cell_length_a 4.4692
_cell_length_b 4.4692
_cell_length_c 10.5785
_cell_angle_alpha 90.00
_cell_angle_beta 90.00
_cell_angle_gamma 90.00
loop_
_space_group_symop_operation_xyz
'x,y,z'
'y,-x,-z'
'-x,-y,z'
'-y,x,-z'
'-x,y,z'
'-y,-x,-z'
'x,-y,z'
'y,x,-z'
loop_
_atom_site_label
_atom_site_type_symbol
_atom_site_fract_x
_atom_site_fract_y
_atom_site_fract_z
Ba1 Ba 0.0000 0.5000 0.2472
Li1 Li 0.5000 0.5000 0.0000
Zn1 Zn 0.0000 0.0000 0.0000
Zn2 Zn 0.0000 0.5000 0.6297
Si1 Si 0.0000 0.0000 0.5000
Si2 Si 0.0000 0.5000 0.8706
Si3 Si 0.5000 0.5000 0.5000
# Density: 4.64 g cm⁻³
# E_form (uncorrected): -0.2409 eV per atom

---

> Number 6 is which compound?

BaLiSi3